1.
Computed, not measured: an optimized crystal structure of ZnRhSe2 at the PBE-GGA level of DFT.

POSCAR file:
```
ZnRhSe2
1.0
7.6517 0.3302 0.0000
5.8291 4.9679 0.0000
-6.7404 -2.6490 2.4915
Se Rh Zn
2 1 1
direct
0.2500 0.7500 0.5000
0.0000 0.0000 0.0000
0.7500 0.2500 0.5000
0.5000 0.5000 0.0000
```

Values from the calculation:
Density: 6.02 Mg/m³
E_form (uncorrected): 11.9 kJ/mol of atoms

2.
Computed, not measured: an optimized crystal structure of ZnRh2Se at the PBE-GGA level of DFT.

POSCAR file:
```
ZnRh2Se
1.0
4.6170 0.0000 0.0000
0.0000 3.0022 0.0038
0.0000 1.3369 4.5471
Rh Se Zn
2 1 1
direct
0.5000 0.4079 0.2895
0.0000 0.0445 0.0057
0.0000 0.3407 0.4478
0.5000 0.7069 0.7570
```

Values from the calculation:
Density: 9.23 Mg/m³
E_form (uncorrected): -10.1 kJ/mol of atoms

3.
Computed, not measured: an optimized crystal structure of ZnRhSe2 at the PBE-GGA level of DFT.

POSCAR file:
```
ZnRhSe2
1.0
-5.3900 -1.1802 0.9405
1.0733 -5.4502 -0.6879
-1.0547 -3.8167 5.8219
Se Zn Rh
4 2 2
direct
0.6378 0.1250 0.2500
0.8750 0.8878 0.7500
0.1122 0.6250 0.2500
0.3750 0.3622 0.7500
0.2500 0.7500 0.5000
0.5000 0.5000 0.0000
0.7500 0.2500 0.5000
0.0000 0.0000 0.0000
```

Values from the calculation:
Density: 5.94 Mg/m³
E_form (uncorrected): -25.4 kJ/mol of atoms

Q: Which value of E_form (uncorrected) does entry 3 give?
A: -25.4 kJ/mol of atoms

Q: E_form (uncorrected) of number 1 (ZnRhSe2)?
A: 11.9 kJ/mol of atoms

Q: The lowest E_form (uncorrected) belongs to which entry?
A: number 3

Please write out number 2 again, unchanged.
Computed, not measured: an optimized crystal structure of ZnRh2Se at the PBE-GGA level of DFT.

POSCAR file:
```
ZnRh2Se
1.0
4.6170 0.0000 0.0000
0.0000 3.0022 0.0038
0.0000 1.3369 4.5471
Rh Se Zn
2 1 1
direct
0.5000 0.4079 0.2895
0.0000 0.0445 0.0057
0.0000 0.3407 0.4478
0.5000 0.7069 0.7570
```

Values from the calculation:
Density: 9.23 Mg/m³
E_form (uncorrected): -10.1 kJ/mol of atoms